First-principles (PBE) data for Mg2In2Te after structural relaxation, as listed in the Alexandria database.

a = 4.613 Å, b = 4.613 Å, c = 13.197 Å
α = 90.00°, β = 90.00°, γ = 90.00°
Space group I4/mmm (No. 139)
Asymmetric unit:
Mg 0.000 0.500 0.250 [4 per cell]
In 0.000 0.000 0.104 [4 per cell]
Te 0.000 0.000 0.500 [2 per cell]

Summary:
**Raw formation energy**: 0.054 eV per atom
**E above lowest polymorph**: 170.6 meV/atom
**Crystal system**: tetragonal



First-principles (PBE) data for AcNdY3 after structural relaxation, as listed in the Alexandria database.

a = 5.673 Å, b = 7.189 Å, c = 17.290 Å
α = 90.00°, β = 90.00°, γ = 90.00°
Space group Imma (No. 74)
Asymmetric unit:
Ac 0.000 0.250 0.108 [4 per cell]
Nd 0.000 0.000 0.500 [4 per cell]
Y 0.000 0.005 0.700 [8 per cell]
Y 0.000 0.250 0.885 [4 per cell]

Summary:
**Energy of formation**: 0.0485 eV per atom
**E above lowest polymorph**: 0.0 meV/atom
**Crystal system**: orthorhombic



First-principles (PBE) data for Ba2LiIn3Sn4 after structural relaxation, as listed in the Alexandria database.

a = 5.157 Å, b = 5.157 Å, c = 11.712 Å
α = 90.00°, β = 90.00°, γ = 90.00°
Space group P-4m2 (No. 115)
Asymmetric unit:
Ba 0.000 0.500 0.245 [2 per cell]
Li 0.500 0.500 0.000 [1 per cell]
In 0.000 0.000 0.000 [1 per cell]
In 0.000 0.500 0.632 [2 per cell]
Sn 0.000 0.000 0.500 [1 per cell]
Sn 0.000 0.500 0.875 [2 per cell]
Sn 0.500 0.500 0.500 [1 per cell]

Summary:
**Energy of formation**: -0.3954 eV per atom
**Crystal system**: tetragonal



First-principles (PBE) data for NpP2PbO8 after structural relaxation, as listed in the Alexandria database.

a = 5.0161 Å, b = 5.0161 Å, c = 22.8959 Å
α = 90.00°, β = 90.00°, γ = 120.00°
Space group R-3 (No. 148, hexagonal axes)
Asymmetric unit:
Np 0.0000 0.0000 0.0000 [3 per cell]
P 0.0000 0.0000 0.2489 [6 per cell]
Pb 0.0000 0.0000 0.5000 [3 per cell]
O 0.0000 0.0000 0.1823 [6 per cell]
O 0.0012 0.2927 0.7271 [18 per cell]

Summary:
**Raw formation energy**: -2.289 eV per atom
**Crystal system**: trigonal



First-principles (PBE) data for Pm4Ge5Au2 after structural relaxation, as listed in the Alexandria database.

a = 7.311 Å, b = 4.205 Å, c = 8.484 Å
α = 90.00°, β = 91.56°, γ = 90.00°
Space group P2/m (No. 10)
Asymmetric unit:
Pm 0.238 0.000 0.125 [2 per cell]
Pm 0.259 0.000 0.634 [2 per cell]
Ge 0.114 0.500 0.885 [2 per cell]
Ge 0.444 0.500 0.345 [2 per cell]
Ge 0.500 0.500 0.000 [1 per cell]
Au 0.096 0.500 0.368 [2 per cell]

Summary:
**Energy of formation**: -0.7281 eV per atom
**Crystal system**: monoclinic



First-principles (PBE) data for Na4DyNp3N8 after structural relaxation, as listed in the Alexandria database.

a = 6.9365 Å, b = 6.9365 Å, c = 16.9798 Å
α = 90.00°, β = 90.00°, γ = 120.00°
Space group R-3m (No. 166, hexagonal axes)
Asymmetric unit:
Na 0.0000 0.0000 0.0000 [3 per cell]
Na 0.0000 0.5000 0.0000 [9 per cell]
Dy 0.0000 0.0000 0.5000 [3 per cell]
Np 0.0000 0.5000 0.5000 [9 per cell]
N 0.0000 0.0000 0.2283 [6 per cell]
N 0.0250 0.5125 0.7725 [18 per cell]

Summary:
**Raw formation energy**: -0.890 eV per atom
**Crystal system**: trigonal



First-principles (PBE) data for CaMg5Pt2 after structural relaxation, as listed in the Alexandria database.

a = 4.245 Å, b = 8.245 Å, c = 10.056 Å
α = 90.00°, β = 90.00°, γ = 90.00°
Space group Immm (No. 71)
Asymmetric unit:
Ca 0.000 0.000 0.000 [2 per cell]
Mg 0.000 0.183 0.333 [8 per cell]
Mg 0.000 0.500 0.000 [2 per cell]
Pt 0.000 0.500 0.261 [4 per cell]

Summary:
**Energy of formation**: -0.5878 eV per atom
**Crystal system**: orthorhombic



First-principles (PBE) data for RbTlSnAs2 after structural relaxation, as listed in the Alexandria database.

a = 17.809 Å, b = 4.423 Å, c = 9.932 Å
α = 90.00°, β = 105.71°, γ = 90.00°
Space group C2/m (No. 12)
Asymmetric unit:
Rb 0.170 0.000 0.153 [4 per cell]
Tl 0.186 0.000 0.521 [4 per cell]
Sn 0.073 0.500 0.660 [4 per cell]
As 0.081 0.500 0.385 [4 per cell]
As 0.149 0.000 0.797 [4 per cell]

Summary:
**Energy of formation**: -0.1676 eV per atom
**Crystal system**: monoclinic



Repeat the seventh record exactly.
First-principles (PBE) data for CaMg5Pt2 after structural relaxation, as listed in the Alexandria database.

a = 4.245 Å, b = 8.245 Å, c = 10.056 Å
α = 90.00°, β = 90.00°, γ = 90.00°
Space group Immm (No. 71)
Asymmetric unit:
Ca 0.000 0.000 0.000 [2 per cell]
Mg 0.000 0.183 0.333 [8 per cell]
Mg 0.000 0.500 0.000 [2 per cell]
Pt 0.000 0.500 0.261 [4 per cell]

Summary:
**Energy of formation**: -0.5878 eV per atom
**Crystal system**: orthorhombic